Entry 1:
A relaxed structure of Hg2H6N2F. Source: Alexandria, functional GGA-PBE.

The structure in POSCAR format:
```
Hg2H6N2F
1.0
4.691 0.000 0.000
-2.346 4.053 -0.224
0.000 -2.433 7.550
Hg H N F
2 6 2 1
direct
0.692 0.385 0.068
0.308 0.615 0.932
0.683 0.367 0.421
0.315 0.268 0.575
0.047 0.732 0.425
0.685 0.732 0.425
0.953 0.268 0.575
0.317 0.633 0.579
0.791 0.582 0.381
0.209 0.418 0.619
0.500 0.000 0.500
```

Calculated values
Symmetry: No. 12
DOS(E_F) in states/eV/atom: 0.02
ρ in g cm⁻³: 5.349
Final energy in eV per atom: -4.0624



Entry 2:
A relaxed structure of Na2HgHF6. Source: Alexandria, functional GGA-PBE.

The structure in POSCAR format:
```
Na2HgHF6
1.0
-5.859 -1.563 -1.312
1.399 -4.160 -1.292
-1.154 -3.300 9.374
Na Hg H F
4 2 2 12
direct
0.000 0.001 0.181
0.500 0.501 0.319
0.500 0.499 0.681
0.000 0.999 0.819
0.000 0.500 0.500
0.500 0.000 0.000
0.000 0.500 0.000
0.500 0.000 0.500
0.840 0.285 0.655
0.897 0.289 0.000
0.838 0.280 0.346
0.662 0.780 0.154
0.603 0.789 0.500
0.660 0.785 0.845
0.340 0.215 0.155
0.397 0.211 0.500
0.338 0.220 0.846
0.103 0.711 0.000
0.162 0.720 0.654
0.160 0.715 0.345
```

Calculated values
Symmetry: No. 14
ρ in g cm⁻³: 4.227
Final energy in eV per atom: -3.6613